Entry 1:
Here is a geometry-optimized Li2TbCe2In2 structure from the Alexandria database. Energies are from GGA-PBE.

Computed properties:
- Electronic total energy: -0.2870 Ry/atom
- Magnetization: 0.19 μB per atom
- Energy of formation: -0.219 eV per atom

Lattice parameters (Å, degrees): 4.6682 4.6682 26.8975 90.00 90.00 120.00
With the nearest neighbours (Å) after each atom.
Space group R-3m (No. 166, hexagonal axes)
Asymmetric unit:
1 Li 0.0000 0.0000 0.0916 (multiplicity 6)  3 In 2.70
2 Tb 0.0000 0.0000 0.5000 (multiplicity 3)  6 In 3.25, 6 Li 3.37
3 Ce 0.0000 0.0000 0.3570 (multiplicity 6)  3 Ce 2.98, 3 Li 3.26, 1 In 3.30
4 In 0.0000 0.0000 0.2344 (multiplicity 6)  3 Li 2.70

***

Entry 2:
Here is a geometry-optimized LiCeThIn structure from the Alexandria database. Energies are from GGA-PBE.

Computed properties:
- Electronic total energy: -0.3321 Ry/atom
- Magnetization: 0.27 μB per atom
- Energy of formation: -0.017 eV per atom

Lattice parameters (Å, degrees): 7.6098 7.6098 7.6098 90.00 90.00 90.00
With the nearest neighbours (Å) after each atom.
Space group F-43m (No. 216)
Asymmetric unit:
1 Li 0.0000 0.0000 0.0000 (multiplicity 4)  4 Th 3.30, 4 Ce 3.30
2 Ce 0.2500 0.2500 0.2500 (multiplicity 4)  4 In 3.30, 4 Li 3.30
3 Th 0.2500 0.2500 0.7500 (multiplicity 4)  4 In 3.30, 4 Li 3.30
4 In 0.0000 0.0000 0.5000 (multiplicity 4)  4 Th 3.30, 4 Ce 3.30

***

Entry 3:
Here is a geometry-optimized LiCeTiIn structure from the Alexandria database. Energies are from GGA-PBE.

Computed properties:
- Electronic total energy: -0.3394 Ry/atom
- Magnetization: 0.93 μB per atom
- Energy of formation: 0.002 eV per atom

Lattice parameters (Å, degrees): 7.0388 7.0388 7.0388 90.00 90.00 90.00
With the nearest neighbours (Å) after each atom.
Space group F-43m (No. 216)
Asymmetric unit:
1 Li 0.0000 0.0000 0.0000 (multiplicity 4)  4 In 3.05, 4 Ce 3.05
2 Ce 0.2500 0.2500 0.2500 (multiplicity 4)  4 Li 3.05, 4 Ti 3.05
3 Ti 0.0000 0.0000 0.5000 (multiplicity 4)  4 In 3.05, 4 Ce 3.05
4 In 0.2500 0.2500 0.7500 (multiplicity 4)  4 Li 3.05, 4 Ti 3.05